1.
Density functional theory data (PBE) for a relaxed structure of Y2Zr2Tc.

abc: 6.834 6.834 5.350
angles: 90.00 90.00 90.00
Space group P4/mbm (No. 127)
Unique sites:
Y  0.172  0.328  0.000
Zr  0.151  0.651  0.500
Tc  0.000  0.000  0.500

As for the volume: 250 Å³/cell.

2.
Density functional theory data (PBE) for a relaxed structure of Y2ZrTc.

abc: 3.444 4.494 6.444
angles: 90.00 104.32 90.00
Space group Pm (No. 6)
Unique sites:
Y  0.000  0.000  0.000
Y  0.322  0.500  0.689
Zr  0.665  0.500  0.259
Tc  0.510  0.000  0.447

As for the volume: 97 Å³/cell.

3.
Density functional theory data (PBE) for a relaxed structure of Zn7Tc.

abc: 7.747 7.747 7.747
angles: 90.00 90.00 90.00
Space group Fm-3m (No. 225)
Unique sites:
Zn  0.000  0.000  0.000
Zn  0.000  0.250  0.250
Tc  0.000  0.000  0.500

As for the volume: 465 Å³/cell.

4.
Density functional theory data (PBE) for a relaxed structure of ZnTc2.

abc: 4.3959 4.3959 5.1523
angles: 90.00 90.00 120.00
Space group P6_3/mmc (No. 194)
Unique sites:
Zn  0.3333  0.6667  0.2500
Tc  0.0000  0.0000  0.0000
Tc  0.3333  0.6667  0.7500

As for the volume: 86 Å³/cell.

5.
Density functional theory data (PBE) for a relaxed structure of ZnTc2.

abc: 7.241 7.241 7.241
angles: 90.00 90.00 90.00
Space group Fd-3m (No. 227, origin choice 2)
Unique sites:
Zn  0.125  0.125  0.125
Tc  0.000  0.000  0.500

As for the volume: 380 Å³/cell.

6.
Density functional theory data (PBE) for a relaxed structure of Zn3Tc.

abc: 4.191 5.273 5.168
angles: 90.00 90.00 90.00
Space group Pmmn (No. 59, origin choice 2)
Unique sites:
Zn  0.250  0.001  0.151
Zn  0.250  0.250  0.681
Tc  0.250  0.750  0.627

As for the volume: 114 Å³/cell.

Number 1: energy -80.36 eV for the cell shown, size of the total moment 0.0 μB per formula unit. Number 2: energy -31.45 eV for the cell shown, size of the total moment 0.0 μB per formula unit. Number 3: energy -78.73 eV for the cell shown, size of the total moment 0.0 μB per formula unit. Number 4: energy -42.17 eV for the cell shown, size of the total moment 0.2 μB per formula unit. Number 5: energy -165.43 eV for the cell shown, size of the total moment 0.0 μB per formula unit. Number 6: energy -27.77 eV for the cell shown, size of the total moment 0.8 μB per formula unit.